Run P
{"formula": "TaTeOs", "functional": "PBE", "state": "relaxed", "sg": "No. 44", "cell": [[-1.6721, 0.9784, -4.4894], [-4.6761, -1.2127, -0.7557], [2.9148, 2.7316, 2.8196]], "species": ["Os", "Te", "Ta"], "frac_coords": [[0.9952, 0.9952, 0.0000], [0.6678, 0.6678, 0.0000], [0.3371, 0.3371, 0.0000]]}



Run Q
{"formula": "TaTeOs", "functional": "PBE", "state": "relaxed", "sg": "No. 156", "cell": [[-3.3611, -1.0171, 2.8402], [0.8561, -2.6759, -3.5362], [1.9329, -1.6320, 1.7029]], "species": ["Os", "Ta", "Te"], "frac_coords": [[0.0000, 0.0000, 0.8380], [0.6667, 0.3333, 0.3314], [0.3333, 0.6667, 0.8306]]}



Order of stability, best first: run Q, run P



Run P
{"formula": "TaVTe2Os", "functional": "PBE", "state": "relaxed", "sg": "No. 123", "cell": [[5.1686, 0.0000, 0.0000], [0.0000, 4.8460, 0.0000], [0.0000, 0.0000, 5.1686]], "species": ["Te", "Te", "Ta", "Os", "V"], "frac_coords": [[0.5000, 0.0000, 0.0000], [0.0000, 0.0000, 0.5000], [0.0000, 0.5000, 0.0000], [0.0000, 0.0000, 0.0000], [0.5000, 0.5000, 0.5000]]}



Run Q
{"formula": "TaVTe2Os", "functional": "PBE", "state": "relaxed", "sg": "No. 123", "cell": [[-4.4544, -2.6954, -1.0653], [2.6301, -3.7962, -1.3922], [-0.0604, -1.8665, 4.9754]], "species": ["Te", "Te", "Os", "Ta", "V"], "frac_coords": [[0.5000, 0.0000, 0.0000], [0.0000, 0.0000, 0.5000], [0.0000, 0.5000, 0.0000], [0.0000, 0.0000, 0.0000], [0.5000, 0.5000, 0.5000]]}



Order of stability, best first: run P, run Q



Run P
{"formula": "TaTiOs2", "functional": "PBE", "state": "relaxed", "sg": "No. 225", "cell": [[0.0000, 3.1417, 3.1417], [3.1417, 0.0000, 3.1417], [3.1417, 3.1417, 0.0000]], "species": ["Ta", "Os", "Os", "Ti"], "frac_coords": [[0.5000, 0.5000, 0.5000], [0.7500, 0.7500, 0.7500], [0.2500, 0.2500, 0.2500], [0.0000, 0.0000, 0.0000]]}



Run Q
{"formula": "TaTiOs2", "functional": "PBE", "state": "relaxed", "sg": "No. 122", "cell": [[-0.7351, -1.3609, 3.7751], [-0.9753, -3.6623, -1.5101], [7.3033, -4.9733, 1.8337]], "species": ["Os", "Os", "Os", "Os", "Ti", "Ti", "Ta", "Ta"], "frac_coords": [[0.3750, 0.4187, 0.7500], [0.8750, 0.8313, 0.7500], [0.5813, 0.1250, 0.2500], [0.1687, 0.6250, 0.2500], [0.5000, 0.5000, 0.0000], [0.2500, 0.7500, 0.5000], [0.7500, 0.2500, 0.5000], [0.0000, 0.0000, 0.0000]]}



Order of stability, best first: run P, run Q



Run P
{"formula": "Ta3TiOs", "functional": "PBE", "state": "relaxed", "sg": "No. 221", "cell": [[4.5791, 0.0000, 0.0000], [0.0000, 4.5791, 0.0000], [0.0000, 0.0000, 4.5791]], "species": ["Ta", "Ta", "Ta", "Ti", "Os"], "frac_coords": [[0.0000, 0.5000, 0.0000], [0.5000, 0.0000, 0.0000], [0.0000, 0.0000, 0.5000], [0.0000, 0.0000, 0.0000], [0.5000, 0.5000, 0.5000]]}



Run Q
{"formula": "Ta3TiOs", "functional": "PBE", "state": "relaxed", "sg": "No. 62", "cell": [[-1.0284, -4.3388, -2.8374], [7.1376, 0.2962, -3.0399], [3.0630, -5.1037, 6.6943]], "species": ["Os", "Os", "Os", "Os", "Ta", "Ta", "Ta", "Ta", "Ta", "Ta", "Ta", "Ta", "Ta", "Ta", "Ta", "Ta", "Ti", "Ti", "Ti", "Ti"], "frac_coords": [[0.0000, 0.5000, 0.0000], [0.0000, 0.5000, 0.5000], [0.5000, 0.0000, 0.5000], [0.5000, 0.0000, 0.0000], [0.2217, 0.5147, 0.2500], [0.7783, 0.4853, 0.7500], [0.9267, 0.1657, 0.5559], [0.5733, 0.6657, 0.4441], [0.0733, 0.8343, 0.4441], [0.7217, 0.9853, 0.2500], [0.0733, 0.8343, 0.0559], [0.4267, 0.3343, 0.5559], [0.2783, 0.0147, 0.7500], [0.5733, 0.6657, 0.0559], [0.4267, 0.3343, 0.9441], [0.9267, 0.1657, 0.9441], [0.3002, 0.6556, 0.7500], [0.8002, 0.8444, 0.7500], [0.6998, 0.3444, 0.2500], [0.1998, 0.1556, 0.2500]]}



Order of stability, best first: run Q, run P



Run P
{"formula": "TaTiVOs", "functional": "PBE", "state": "relaxed", "sg": "No. 216", "cell": [[-2.2805, 1.1748, -3.6135], [0.7489, -2.0504, -3.8566], [-3.0507, -2.7388, -1.6824]], "species": ["V", "Os", "Ta", "Ti"], "frac_coords": [[0.0000, 0.0000, 0.0000], [0.5000, 0.5000, 0.5000], [0.2500, 0.2500, 0.2500], [0.7500, 0.7500, 0.7500]]}



Run Q
{"formula": "TaTiVOs", "functional": "PBE", "state": "relaxed", "sg": "No. 99", "cell": [[-1.3962, -2.6916, -0.7270], [1.4365, -1.3914, 2.3924], [-4.8790, 1.5034, 3.8040]], "species": ["V", "Ta", "Os", "Ti"], "frac_coords": [[0.0000, 0.0000, 0.3608], [0.5000, 0.5000, 0.1071], [0.0000, 0.0000, 0.8535], [0.5000, 0.5000, 0.6065]]}



Order of stability, best first: run P, run Q



Run P
{"formula": "TaTl3Os", "functional": "PBE", "state": "relaxed", "sg": "No. 221", "cell": [[5.4447, 0.0000, 0.0000], [0.0000, 5.4447, 0.0000], [0.0000, 0.0000, 5.4447]], "species": ["Tl", "Tl", "Tl", "Ta", "Os"], "frac_coords": [[0.5000, 0.0000, 0.0000], [0.0000, 0.5000, 0.0000], [0.0000, 0.0000, 0.5000], [0.0000, 0.0000, 0.0000], [0.5000, 0.5000, 0.5000]]}



Run Q
{"formula": "TaTl3Os", "functional": "PBE", "state": "relaxed", "sg": "No. 221", "cell": [[-4.0253, 2.9670, 1.4713], [-3.3113, -3.6436, -1.7119], [0.0541, -2.2566, 4.6985]], "species": ["Tl", "Tl", "Tl", "Ta", "Os"], "frac_coords": [[0.5000, 0.0000, 0.0000], [0.0000, 0.5000, 0.0000], [0.0000, 0.0000, 0.5000], [0.5000, 0.5000, 0.5000], [0.0000, 0.0000, 0.0000]]}



Order of stability, best first: run Q, run P



Run P
{"formula": "Ta2Tl2Os", "functional": "PBE", "state": "relaxed", "sg": "No. 127", "cell": [[6.9804, 0.0000, 0.0000], [0.0000, 6.9804, 0.0000], [0.0000, 0.0000, 4.0700]], "species": ["Os", "Os", "Ta", "Ta", "Ta", "Ta", "Tl", "Tl", "Tl", "Tl"], "frac_coords": [[0.5000, 0.5000, 0.0000], [0.0000, 0.0000, 0.0000], [0.8407, 0.3407, 0.5000], [0.6593, 0.8407, 0.5000], [0.3407, 0.1593, 0.5000], [0.1593, 0.6593, 0.5000], [0.3556, 0.8556, 0.0000], [0.8556, 0.6444, 0.0000], [0.6444, 0.1444, 0.0000], [0.1444, 0.3556, 0.0000]]}



Run Q
{"formula": "Ta2Tl2Os", "functional": "PBE", "state": "relaxed", "sg": "No. 139", "cell": [[-0.1682, -3.5837, -0.9983], [3.3937, -0.5571, 1.4283], [-1.5237, -3.8102, 6.9886]], "species": ["Os", "Ta", "Ta", "Tl", "Tl"], "frac_coords": [[0.0000, 0.0000, 0.0000], [0.7500, 0.2500, 0.5000], [0.2500, 0.7500, 0.5000], [0.4060, 0.4060, 0.1880], [0.5940, 0.5940, 0.8120]]}



Order of stability, best first: run P, run Q



Run P
{"formula": "Ta2TlOs2", "functional": "PBE", "state": "relaxed", "sg": "No. 127", "cell": [[7.8764, 0.0000, 0.0000], [0.0000, 7.8764, 0.0000], [0.0000, 0.0000, 2.9959]], "species": ["Os", "Os", "Os", "Os", "Ta", "Ta", "Ta", "Ta", "Tl", "Tl"], "frac_coords": [[0.1388, 0.6388, 0.5000], [0.3612, 0.1388, 0.5000], [0.6388, 0.8612, 0.5000], [0.8612, 0.3612, 0.5000], [0.1448, 0.3552, 0.0000], [0.8552, 0.6448, 0.0000], [0.3552, 0.8552, 0.0000], [0.6448, 0.1448, 0.0000], [0.0000, 0.0000, 0.0000], [0.5000, 0.5000, 0.0000]]}



Run Q
{"formula": "Ta2TlOs2", "functional": "PBE", "state": "relaxed", "sg": "No. 127", "cell": [[7.7378, 0.0000, 0.0000], [0.0000, 7.7378, 0.0000], [0.0000, 0.0000, 3.0351]], "species": ["Os", "Os", "Os", "Os", "Tl", "Tl", "Ta", "Ta", "Ta", "Ta"], "frac_coords": [[0.8650, 0.6350, 0.0000], [0.3650, 0.8650, 0.0000], [0.6350, 0.1350, 0.0000], [0.1350, 0.3650, 0.0000], [0.0000, 0.0000, 0.0000], [0.5000, 0.5000, 0.0000], [0.8469, 0.3469, 0.5000], [0.3469, 0.1531, 0.5000], [0.6531, 0.8469, 0.5000], [0.1531, 0.6531, 0.5000]]}



Order of stability, best first: run Q, run P